(1)
# ReAsPt2

An optimized crystal structure of ReAsPt2 (PBE, Alexandria via LeMat-Bulk).

a = 4.783 Å, b = 4.783 Å, c = 5.068 Å
α = 101.84°, β = 101.84°, γ = 34.04°
Atoms (fractional coordinates):
Re 0.000 0.000 0.000
As 0.278 0.278 0.713
Pt 0.515 0.515 0.483
Pt 0.750 0.750 0.207

Calculated values
As for the density: 17.06 g/cm³. The density of states at the Fermi level is 0.478 states/eV/atom. The formation energy comes out at 0.107 eV/atom.

=====

(2)
# YC

An optimized crystal structure of YC (PBE, Alexandria via LeMat-Bulk).

a = 6.898 Å, b = 6.898 Å, c = 6.898 Å
α = 28.69°, β = 28.69°, γ = 28.69°
Atoms (fractional coordinates):
Y 0.084 0.084 0.084
Y 0.916 0.916 0.916
C 0.332 0.332 0.332
C 0.668 0.668 0.668

Calculated values
As for the density: 5.01 g/cm³. The density of states at the Fermi level is 0.644 states/eV/atom. The formation energy comes out at 0.525 eV/atom.

=====

What is the density in the first record?
17.06 g/cm³